{"formula": "Li6BeAu12", "functional": "PBE", "state": "relaxed", "cell": [[4.8813, 2.8182, 3.8062], [-4.8813, 2.8182, 3.8062], [0.0000, -5.6364, 3.8062]], "species": ["Li", "Li", "Li", "Li", "Li", "Li", "Be", "Au", "Au", "Au", "Au", "Au", "Au", "Au", "Au", "Au", "Au", "Au", "Au"], "fractional_positions": [[0.2091, 0.7665, 0.3827], [0.2335, 0.6173, 0.7909], [0.3827, 0.2091, 0.7665], [0.6173, 0.7909, 0.2335], [0.7665, 0.3827, 0.2091], [0.7909, 0.2335, 0.6173], [0.5000, 0.5000, 0.5000], [0.0372, 0.3045, 0.9422], [0.0578, 0.9628, 0.6955], [0.1545, 0.3693, 0.4877], [0.3045, 0.9422, 0.0372], [0.3693, 0.4877, 0.1545], [0.4877, 0.1545, 0.3693], [0.5123, 0.8455, 0.6307], [0.6307, 0.5123, 0.8455], [0.6955, 0.0578, 0.9628], [0.8455, 0.6307, 0.5123], [0.9422, 0.0372, 0.3045], [0.9628, 0.6955, 0.0578]], "dos_ef_per_ev_atom": 0.2788, "volume_a3_per_atom": 16.53, "ef_ev_per_atom": -0.330, "e_tot_ev_per_atom": -3.200, "density_kg_m3": 12761}

***

{"formula": "Li2BeAu", "functional": "PBE", "state": "relaxed", "cell": [[-1.7346, 1.7346, 9.3944], [1.7346, -1.7346, 9.3944], [1.7346, 1.7346, -9.3944]], "species": ["Li", "Li", "Li", "Li", "Be", "Be", "Au", "Au"], "fractional_positions": [[0.1236, 0.6250, 0.9986], [0.3750, 0.3736, 0.4986], [0.6264, 0.1250, 0.0014], [0.8750, 0.8764, 0.5014], [0.0000, 0.0000, 0.0000], [0.7500, 0.2500, 0.5000], [0.2500, 0.7500, 0.5000], [0.5000, 0.5000, 0.0000]], "dos_ef_per_ev_atom": 0.2397, "volume_a3_per_atom": 14.13, "ef_ev_per_atom": -0.032, "e_tot_ev_per_atom": -2.739, "density_kg_m3": 6458}

***

{"formula": "Li3Be2Au5", "functional": "PBE", "state": "relaxed", "cell": [[9.7719, 0.0000, 0.0000], [0.0000, 9.7719, 0.0000], [0.0000, 0.0000, 3.2165]], "species": ["Li", "Li", "Li", "Li", "Li", "Li", "Be", "Be", "Be", "Be", "Au", "Au", "Au", "Au", "Au", "Au", "Au", "Au", "Au", "Au"], "fractional_positions": [[0.0000, 0.0000, 0.0000], [0.1728, 0.3272, 0.0000], [0.3272, 0.8272, 0.0000], [0.5000, 0.5000, 0.0000], [0.6728, 0.1728, 0.0000], [0.8272, 0.6728, 0.0000], [0.1274, 0.6274, 0.0000], [0.3726, 0.1274, 0.0000], [0.6274, 0.8726, 0.0000], [0.8726, 0.3726, 0.0000], [0.0000, 0.5000, 0.5000], [0.0722, 0.7966, 0.5000], [0.2034, 0.0722, 0.5000], [0.2966, 0.5722, 0.5000], [0.4278, 0.2966, 0.5000], [0.5000, 0.0000, 0.5000], [0.5722, 0.7034, 0.5000], [0.7034, 0.4278, 0.5000], [0.7966, 0.9278, 0.5000], [0.9278, 0.2034, 0.5000]], "dos_ef_per_ev_atom": 0.3051, "volume_a3_per_atom": 15.36, "ef_ev_per_atom": -0.363, "e_tot_ev_per_atom": -3.321, "density_kg_m3": 11069}

***

{"formula": "LiBe2Au", "functional": "PBE", "state": "relaxed", "cell": [[3.0503, 0.0000, 0.0000], [0.0000, 3.0503, 0.0000], [0.0000, 0.0000, 5.2396]], "species": ["Li", "Be", "Be", "Au"], "fractional_positions": [[0.0000, 0.0000, 0.0000], [0.5000, 0.5000, 0.2584], [0.5000, 0.5000, 0.7416], [0.0000, 0.0000, 0.5000]], "dos_ef_per_ev_atom": 0.3516, "volume_a3_per_atom": 12.19, "ef_ev_per_atom": 0.010, "relative_energy_ev_per_fu": 0.86, "e_tot_ev_per_atom": -3.151, "density_kg_m3": 7559}